A plane-wave DFT calculation with PBE was carried out for a relaxed TlHSe crystal.

Unit cell a=4.0352 b=4.5441 c=4.3472 alpha=90.00 beta=111.79 gamma=90.00
Atoms (fractional coordinates):
Tl 0.0000 0.0000 0.0000
H 0.3796 0.5000 0.5682
Se 0.6403 0.5000 0.3974

Values from the calculation:
The value obtained for the polymorph energy (0 for the lowest one) is 0.000 eV/f.u.


A plane-wave DFT calculation with PBE was carried out for a relaxed Nd3DyGa4 crystal.

Unit cell a=3.6634 b=3.6634 c=14.6867 alpha=90.00 beta=90.00 gamma=90.00
Atoms (fractional coordinates):
Nd 0.0000 0.0000 0.0000
Nd 0.0000 0.0000 0.2549
Nd 0.0000 0.0000 0.7451
Dy 0.0000 0.0000 0.5000
Ga 0.5000 0.5000 0.1274
Ga 0.5000 0.5000 0.3851
Ga 0.5000 0.5000 0.6149
Ga 0.5000 0.5000 0.8726

Values from the calculation:
For the formation enthalpy at 0 K, the calculation gives -0.567 eV per atom. The value obtained for the polymorph energy (0 for the lowest one) is 0.000 eV/f.u.


A plane-wave DFT calculation with PBE was carried out for a relaxed ZrCu3C crystal.

Unit cell a=4.9298 b=4.9298 c=4.9298 alpha=90.00 beta=90.00 gamma=90.00
Atoms (fractional coordinates):
Zr 0.0000 0.0000 0.0000
Cu 0.0000 0.0000 0.5000
Cu 0.0000 0.5000 0.0000
Cu 0.5000 0.0000 0.0000
C 0.5000 0.5000 0.5000

Values from the calculation:
For the formation enthalpy at 0 K, the calculation gives 2.656 eV per atom. The value obtained for the polymorph energy (0 for the lowest one) is 11.183 eV/f.u.


A plane-wave DFT calculation with PBE was carried out for a relaxed Mg3Zn5Ir2 crystal.

Unit cell a=10.7341 b=10.7341 c=5.0779 alpha=101.32 beta=101.32 gamma=137.19
Atoms (fractional coordinates):
Mg 0.0308 0.9692 0.7500
Mg 0.1177 0.5707 0.8465
Mg 0.4293 0.8823 0.6535
Mg 0.5707 0.1177 0.3465
Mg 0.8823 0.4293 0.1535
Mg 0.9692 0.0308 0.2500
Zn 0.1186 0.8814 0.2500
Zn 0.1616 0.8384 0.7500
Zn 0.2366 0.4243 0.7564
Zn 0.4243 0.2366 0.2564
Zn 0.4762 0.5238 0.2500
Zn 0.5238 0.4762 0.7500
Zn 0.5757 0.7634 0.7436
Zn 0.7634 0.5757 0.2436
Zn 0.8384 0.1616 0.2500
Zn 0.8814 0.1186 0.7500
Ir 0.1829 0.4726 0.2748
Ir 0.4726 0.1829 0.7748
Ir 0.5274 0.8171 0.2252
Ir 0.8171 0.5274 0.7252

Values from the calculation:
For the formation enthalpy at 0 K, the calculation gives -0.153 eV per atom.


A plane-wave DFT calculation with PBE was carried out for a relaxed Li5Cd12In2 crystal.

Unit cell a=8.4580 b=8.4580 c=9.5269 alpha=102.78 beta=102.78 gamma=41.28
Atoms (fractional coordinates):
Li 0.0000 0.0000 0.0000
Li 0.2969 0.2969 0.1136
Li 0.3696 0.3696 0.6272
Li 0.6304 0.6304 0.3728
Li 0.7031 0.7031 0.8864
Cd 0.0487 0.5456 0.3827
Cd 0.1088 0.5988 0.8789
Cd 0.1386 0.1386 0.8419
Cd 0.4012 0.8912 0.1211
Cd 0.4544 0.9513 0.6173
Cd 0.4782 0.4782 0.1634
Cd 0.5218 0.5218 0.8366
Cd 0.5456 0.0487 0.3827
Cd 0.5988 0.1088 0.8789
Cd 0.8614 0.8614 0.1581
Cd 0.8912 0.4012 0.1211
Cd 0.9513 0.4544 0.6173
In 0.2466 0.7534 0.5000
In 0.7534 0.2466 0.5000

Values from the calculation:
For the formation enthalpy at 0 K, the calculation gives -0.045 eV per atom.


A plane-wave DFT calculation with PBE was carried out for a relaxed LaCe2DyHg4 crystal.

Unit cell a=9.3976 b=9.3976 c=9.3976 alpha=33.40 beta=33.40 gamma=33.40
Atoms (fractional coordinates):
La 0.0000 0.0000 0.0000
Ce 0.2506 0.2506 0.2506
Ce 0.7494 0.7494 0.7494
Dy 0.5000 0.5000 0.5000
Hg 0.1281 0.1281 0.1281
Hg 0.3791 0.3791 0.3791
Hg 0.6209 0.6209 0.6209
Hg 0.8719 0.8719 0.8719

Values from the calculation:
For the formation enthalpy at 0 K, the calculation gives -0.376 eV per atom.


A plane-wave DFT calculation with PBE was carried out for a relaxed AlVAu2Br crystal.

Unit cell a=4.7880 b=4.7880 c=5.2860 alpha=90.00 beta=90.00 gamma=90.00
Atoms (fractional coordinates):
Al 0.0000 0.0000 0.0000
V 0.0000 0.0000 0.5000
Au 0.0000 0.5000 0.0000
Au 0.5000 0.0000 0.0000
Br 0.5000 0.5000 0.5000

Values from the calculation:
The value obtained for the polymorph energy (0 for the lowest one) is 0.000 eV/f.u. The formation energy (no corrections) is 542 meV/atom.


A plane-wave DFT calculation with PBE was carried out for a relaxed TaIr2 crystal.

Unit cell a=12.0078 b=12.0078 c=12.0078 alpha=166.17 beta=166.17 gamma=19.61
Atoms (fractional coordinates):
Ta 0.3750 0.6250 0.7500
Ta 0.6250 0.3750 0.2500
Ir 0.0485 0.7985 0.2500
Ir 0.2015 0.9515 0.2500
Ir 0.7985 0.0485 0.7500
Ir 0.9515 0.2015 0.7500

Values from the calculation:
For the formation enthalpy at 0 K, the calculation gives -0.227 eV per atom.


A plane-wave DFT calculation with PBE was carried out for a relaxed SmScHgAu crystal.

Unit cell a=3.5078 b=3.5078 c=7.5511 alpha=90.00 beta=90.00 gamma=90.00
Atoms (fractional coordinates):
Sm 0.0000 0.0000 0.0000
Sc 0.0000 0.0000 0.5297
Hg 0.5000 0.5000 0.2894
Au 0.5000 0.5000 0.7259

Values from the calculation:
For the formation enthalpy at 0 K, the calculation gives -0.612 eV per atom. The value obtained for the polymorph energy (0 for the lowest one) is 0.000 eV/f.u.


A plane-wave DFT calculation with PBE was carried out for a relaxed Rb2FeSe crystal.

Unit cell a=5.8934 b=5.8934 c=5.8934 alpha=60.00 beta=60.00 gamma=60.00
Atoms (fractional coordinates):
Rb 0.2500 0.2500 0.2500
Rb 0.7500 0.7500 0.7500
Fe 0.0000 0.0000 0.0000
Se 0.5000 0.5000 0.5000

Values from the calculation:
The value obtained for the polymorph energy (0 for the lowest one) is 0.000 eV/f.u. The formation energy (no corrections) is 360 meV/atom.


A plane-wave DFT calculation with PBE was carried out for a relaxed Tb2ScSbC crystal.

Unit cell a=4.9171 b=4.9171 c=4.5413 alpha=90.00 beta=90.00 gamma=90.00
Atoms (fractional coordinates):
Tb 0.0000 0.5000 0.0000
Tb 0.5000 0.0000 0.0000
Sc 0.0000 0.0000 0.5000
Sb 0.5000 0.5000 0.5000
C 0.0000 0.0000 0.0000

Values from the calculation:
The formation energy (no corrections) is -659 meV/atom.


A plane-wave DFT calculation with PBE was carried out for a relaxed Ta2SiTc crystal.

Unit cell a=3.3066 b=3.3066 c=5.8491 alpha=90.00 beta=90.00 gamma=90.00
Atoms (fractional coordinates):
Ta 0.0000 0.0000 0.0000
Ta 0.5000 0.5000 0.2713
Si 0.5000 0.5000 0.7619
Tc 0.0000 0.0000 0.5390

Values from the calculation:
The formation energy (no corrections) is -239 meV/atom.


Sequential spin magnetization output: 0.00 0.00 1.88 0.00 0.00 3.49 3.09 0.00 0.15 4.00 0.00 0.00 μB/f.u.